First-principles (PBE) data for a geometry-optimized AgPt2Br structure, as listed in Alexandria.

As for the uncorrected formation energy: 0.29 eV/atom. Its spin magnetization is 0.0 μB per cell. For the energy relative to the lowest polymorph listed for this composition, the calculation gives 90 meV/atom. The value obtained for the density of states at the Fermi level is 0.664 states/eV/atom.

The structure belongs to space group Cm (No. 8); the cell edges are 8.114, 3.469 and 6.387 Å and the angles 90.00°, 106.75° and 90.00°. The asymmetric unit holds Ag at (0.000, 0.000, 0.000), Pt at (0.000, 0.500, 0.611), Pt at (0.235, 0.000, 0.772) and Br at (0.340, 0.500, 0.325).